Entry 1:
Compound: In3MoCl
Source: Alexandria via LeMat-Bulk
Functional: PBE
Structure: optimized geometry

Calculated values
energy = -16.2 eV/f.u.
energy relative to the elements, uncorrected = 0.94 eV per atom
N(E_F) = 2.325 states/eV/f.u.
excess energy over the best structure of this formula in the dataset = 54.3 kJ per mole of atoms

CIF file:
```
data_In3MoCl
_symmetry_space_group_name_H-M 'P m -3 m'
_symmetry_Int_Tables_number 221
_symmetry_space_group_name_Hall '-P 4 2 3'
_cell_length_a 5.482
_cell_length_b 5.482
_cell_length_c 5.482
_cell_angle_alpha 90.00
_cell_angle_beta 90.00
_cell_angle_gamma 90.00
loop_
_atom_site_label
_atom_site_type_symbol
_atom_site_fract_x
_atom_site_fract_y
_atom_site_fract_z
In1 In 0.000 0.000 0.500
Mo1 Mo 0.500 0.500 0.500
Cl1 Cl 0.000 0.000 0.000
```

=====

Entry 2:
Compound: ScIr2Os
Source: Alexandria via LeMat-Bulk
Functional: PBE
Structure: optimized geometry

Calculated values
ΔH_f (0 K) = 0.032 eV/atom
energy = -35.2 eV/f.u.
N(E_F) = 6.218 states/eV/f.u.
excess energy over the best structure of this formula in the dataset = 40.9 kJ per mole of atoms

CIF file:
```
data_ScIr2Os
_symmetry_space_group_name_H-M 'F -4 3 m'
_symmetry_Int_Tables_number 216
_symmetry_space_group_name_Hall 'F -4 2 3'
_cell_length_a 6.308
_cell_length_b 6.308
_cell_length_c 6.308
_cell_angle_alpha 90.00
_cell_angle_beta 90.00
_cell_angle_gamma 90.00
loop_
_atom_site_label
_atom_site_type_symbol
_atom_site_fract_x
_atom_site_fract_y
_atom_site_fract_z
Sc1 Sc 0.000 0.000 0.000
Ir1 Ir 0.000 0.000 0.500
Ir2 Ir 0.250 0.250 0.750
Os1 Os 0.250 0.250 0.250
```

=====

Entry 3:
Compound: BaIn8Sn4
Source: Alexandria via LeMat-Bulk
Functional: PBE
Structure: optimized geometry

Calculated values
ΔH_f (0 K) = 0.109 eV/atom
energy = -38.4 eV/f.u.
N(E_F) = 2.545 states/eV/f.u.

CIF file:
```
data_BaIn8Sn4
_symmetry_space_group_name_H-M 'R -3 m'
_symmetry_Int_Tables_number 166
_symmetry_space_group_name_Hall '-R 3 2"'
_cell_length_a 9.1213
_cell_length_b 9.1213
_cell_length_c 23.0562
_cell_angle_alpha 90.00
_cell_angle_beta 90.00
_cell_angle_gamma 120.00
loop_
_atom_site_label
_atom_site_type_symbol
_atom_site_fract_x
_atom_site_fract_y
_atom_site_fract_z
Ba1 Ba 0.0000 0.0000 0.0000
In1 In 0.0000 0.0000 0.2718
In2 In 0.0626 0.5313 0.2547
Sn1 Sn 0.0000 0.0000 0.5000
Sn2 Sn 0.0000 0.5000 0.0000
```

=====

Entry 4:
Compound: Pm4In2Co
Source: Alexandria via LeMat-Bulk
Functional: PBE
Structure: optimized geometry

Calculated values
ΔH_f (0 K) = -0.171 eV/atom
energy = -32.8 eV/f.u.
N(E_F) = 5.303 states/eV/f.u.

CIF file:
```
data_Pm4In2Co
_symmetry_space_group_name_H-M 'I 4/m m m'
_symmetry_Int_Tables_number 139
_symmetry_space_group_name_Hall '-I 4 2'
_cell_length_a 5.123
_cell_length_b 5.123
_cell_length_c 16.250
_cell_angle_alpha 90.00
_cell_angle_beta 90.00
_cell_angle_gamma 90.00
loop_
_atom_site_label
_atom_site_type_symbol
_atom_site_fract_x
_atom_site_fract_y
_atom_site_fract_z
Pm1 Pm 0.000 0.000 0.175
Pm2 Pm 0.000 0.500 0.000
In1 In 0.000 0.000 0.367
Co1 Co 0.000 0.000 0.000
```

=====

Entry 5:
Compound: Tm4PtS3
Source: Alexandria via LeMat-Bulk
Functional: PBE
Structure: optimized geometry

Calculated values
energy = -50.2 eV/f.u.
energy relative to the elements, uncorrected = -1.73 eV per atom
N(E_F) = 3.829 states/eV/f.u.

CIF file:
```
data_Tm4PtS3
_symmetry_space_group_name_H-M 'C m m m'
_symmetry_Int_Tables_number 65
_symmetry_space_group_name_Hall '-C 2 2'
_cell_length_a 7.964
_cell_length_b 11.130
_cell_length_c 3.835
_cell_angle_alpha 90.00
_cell_angle_beta 90.00
_cell_angle_gamma 90.00
loop_
_atom_site_label
_atom_site_type_symbol
_atom_site_fract_x
_atom_site_fract_y
_atom_site_fract_z
Tm1 Tm 0.000 0.250 0.000
Tm2 Tm 0.247 0.000 0.500
Pt1 Pt 0.000 0.000 0.000
S1 S 0.000 0.500 0.000
S2 S 0.250 0.250 0.500
```

=====

Entry 6:
Compound: Ta2Cd
Source: Alexandria via LeMat-Bulk
Functional: PBE
Structure: optimized geometry

Calculated values
ΔH_f (0 K) = 0.967 eV/atom
energy = -21.7 eV/f.u.
N(E_F) = 2.822 states/eV/f.u.

CIF file:
```
data_Ta2Cd
_symmetry_space_group_name_H-M 'I 41/a m d'
_symmetry_Int_Tables_number 141
_cell_length_a 3.626
_cell_length_b 3.626
_cell_length_c 19.026
_cell_angle_alpha 90.00
_cell_angle_beta 90.00
_cell_angle_gamma 90.00
loop_
_symmetry_equiv_pos_as_xyz
'x,y,z'
'-x,-y,-z'
'-y+1/4,x+3/4,z+1/4'
'y+1/4,-x+3/4,-z+1/4'
'-x+1/2,-y,z+1/2'
'x+1/2,y,-z+1/2'
'y+1/4,-x+1/4,z+3/4'
'-y+1/4,x+1/4,-z+3/4'
'x,-y,-z'
'-x,y,z'
'-y+1/4,-x+1/4,-z+3/4'
'y+1/4,x+1/4,z+3/4'
'-x+1/2,y,-z+1/2'
'x+1/2,-y,z+1/2'
'y+1/4,x+3/4,-z+1/4'
'-y+1/4,-x+3/4,z+1/4'
'x+1/2,y+1/2,z+1/2'
'-x+1/2,-y+1/2,-z+1/2'
'-y+3/4,x+1/4,z+3/4'
'y+3/4,-x+1/4,-z+3/4'
'-x,-y+1/2,z'
'x,y+1/2,-z'
'y+3/4,-x+3/4,z+1/4'
'-y+3/4,x+3/4,-z+1/4'
'x+1/2,-y+1/2,-z+1/2'
'-x+1/2,y+1/2,z+1/2'
'-y+3/4,-x+3/4,-z+1/4'
'y+3/4,x+3/4,z+1/4'
'-x,y+1/2,-z'
'x,-y+1/2,z'
'y+3/4,x+1/4,-z+3/4'
'-y+3/4,-x+1/4,z+3/4'
loop_
_atom_site_label
_atom_site_type_symbol
_atom_site_fract_x
_atom_site_fract_y
_atom_site_fract_z
Ta1 Ta 0.000 0.250 0.303
Cd1 Cd 0.000 0.250 0.875
```